DFT (PBE-GGA) results for a geometry-optimized Cs4As2S5 structure.

## Properties
space-group type = Cm, No. 8
crystal system = monoclinic
ΔE_f (raw) = -9.43 eV/f.u.

Cell lengths 7.119, 7.119, 9.593 Å; angles 78.46, 78.46, 69.10 degrees
Fractional coordinates of all 11 atoms:
Cs  0.077  0.077  0.499
Cs  0.690  0.690  0.818
Cs  0.929  0.929  0.071
Cs  0.360  0.360  0.113
As  0.605  0.605  0.338
As  0.355  0.355  0.708
S  0.401  0.401  0.456
S  0.665  0.222  0.774
S  0.403  0.836  0.188
S  0.836  0.403  0.188
S  0.222  0.665  0.774

---

DFT (PBE-GGA) results for a geometry-optimized Rb2ZrMnSe5 structure.

## Properties
space-group type = Cmc2_1, No. 36
crystal system = orthorhombic
ΔE_f (raw) = -8.75 eV/f.u.

Cell lengths 4.057, 10.280, 14.501 Å; angles 90.00, 90.00, 101.38 degrees
Fractional coordinates of all 18 atoms:
Mn  0.432  0.864  0.424
Mn  0.568  0.136  0.924
Se  0.683  0.366  0.502
Se  0.683  0.366  0.154
Se  0.520  0.041  0.785
Se  0.949  0.897  0.508
Se  0.051  0.103  0.008
Se  0.480  0.959  0.285
Se  0.317  0.634  0.397
Se  0.683  0.366  0.897
Se  0.317  0.634  0.002
Se  0.317  0.634  0.654
Zr  0.805  0.609  0.534
Zr  0.195  0.391  0.034
Rb  0.856  0.711  0.188
Rb  0.118  0.236  0.332
Rb  0.144  0.289  0.688
Rb  0.882  0.764  0.832

---

DFT (PBE-GGA) results for a geometry-optimized MgTe2I structure.

## Properties
space-group type = R-3m, No. 166
crystal system = trigonal
ΔE_f (raw) = -1.04 eV/f.u.

Cell lengths 9.214, 9.214, 9.214 Å; angles 27.64, 27.64, 27.64 degrees
Fractional coordinates of all 4 atoms:
Te  0.889  0.889  0.889
Te  0.111  0.111  0.111
Mg  0.500  0.500  0.500
I  0.000  0.000  0.000

---

DFT (PBE-GGA) results for a geometry-optimized NbAlAg2Mo structure.

## Properties
space-group type = P4/mmm, No. 123
formation energy from the elements = 6.83 eV/f.u.
crystal system = tetragonal

Cell lengths 5.129, 4.649, 5.129 Å; angles 90.00, 90.00, 90.00 degrees
Fractional coordinates of all 5 atoms:
Al  0.500  0.500  0.500
Mo  0.000  0.000  0.000
Ag  0.000  0.000  0.500
Ag  0.500  0.000  0.000
Nb  0.000  0.500  0.000

---

DFT (PBE-GGA) results for a geometry-optimized Pm12Pr5Sm2 structure.

## Properties
space-group type = C2/m, No. 12
formation energy from the elements = 2.44 eV/f.u.
crystal system = monoclinic

Cell lengths 7.210, 8.841, 11.864 Å; angles 109.04, 107.69, 90.00 degrees
Fractional coordinates of all 19 atoms:
Pr  0.349  0.905  0.697
Pr  0.000  0.500  0.000
Pr  0.249  0.490  0.497
Pr  0.651  0.095  0.303
Pr  0.751  0.510  0.503
Pm  0.849  0.384  0.212
Pm  0.363  0.384  0.212
Pm  0.452  0.306  0.903
Pm  0.855  0.936  0.711
Pm  0.547  0.207  0.600
Pm  0.637  0.616  0.788
Pm  0.151  0.616  0.788
Pm  0.053  0.207  0.600
Pm  0.453  0.793  0.400
Pm  0.145  0.064  0.289
Pm  0.947  0.793  0.400
Pm  0.548  0.694  0.097
Sm  0.745  0.000  0.000
Sm  0.255  0.000  0.000

---

DFT (PBE-GGA) results for a geometry-optimized BaCa2Ir structure.

## Properties
space-group type = Cm, No. 8
formation energy from the elements = -0.49 eV/f.u.
crystal system = monoclinic

Cell lengths 6.733, 6.733, 6.911 Å; angles 55.90, 55.90, 34.88 degrees
Fractional coordinates of all 4 atoms:
Ca  0.831  0.831  0.634
Ca  0.010  0.010  0.920
Ba  0.185  0.185  0.264
Ir  0.474  0.474  0.682

---

DFT (PBE-GGA) results for a geometry-optimized CsThTe2Br structure.

## Properties
space-group type = P2_1/m, No. 11
crystal system = monoclinic
ΔE_f (raw) = -7.11 eV/f.u.

Cell lengths 4.618, 10.186, 10.347 Å; angles 104.91, 90.00, 90.00 degrees
Fractional coordinates of all 10 atoms:
Te  0.750  0.861  0.639
Te  0.250  0.159  0.954
Te  0.250  0.139  0.361
Te  0.750  0.841  0.046
Cs  0.250  0.737  0.318
Cs  0.750  0.263  0.682
Th  0.250  0.838  0.831
Th  0.750  0.162  0.169
Br  0.250  0.550  0.771
Br  0.750  0.450  0.229

---

DFT (PBE-GGA) results for a geometry-optimized Pm4Nd2Mg structure.

## Properties
space-group type = P-42m, No. 111
formation energy from the elements = 3.61 eV/f.u.
crystal system = tetragonal

Cell lengths 4.757, 4.757, 11.513 Å; angles 90.00, 90.00, 90.00 degrees
Fractional coordinates of all 7 atoms:
Pm  0.742  0.742  0.234
Pm  0.258  0.742  0.766
Pm  0.742  0.258  0.766
Pm  0.258  0.258  0.234
Nd  0.000  0.500  0.500
Nd  0.500  0.000  0.500
Mg  0.000  0.000  0.000

---

DFT (PBE-GGA) results for a geometry-optimized FePCl4 structure.

## Properties
space-group type = F-43m, No. 216
crystal system = cubic
ΔE_f (raw) = 7.38 eV/f.u.

Cell lengths 5.744, 5.744, 5.744 Å; angles 60.00, 60.00, 60.00 degrees
Fractional coordinates of all 6 atoms:
Cl  0.376  0.376  0.872
Cl  0.872  0.376  0.376
Cl  0.376  0.376  0.376
Cl  0.376  0.872  0.376
Fe  0.750  0.750  0.750
P  0.000  0.000  0.000

---

DFT (PBE-GGA) results for a geometry-optimized SrMnSn3 structure.

## Properties
space-group type = Pm-3m, No. 221
formation energy from the elements = 9.01 eV/f.u.
crystal system = cubic

Cell lengths 5.809, 5.809, 5.809 Å; angles 90.00, 90.00, 90.00 degrees
Fractional coordinates of all 5 atoms:
Sn  0.000  0.000  0.500
Sn  0.000  0.500  0.000
Sn  0.500  0.000  0.000
Sr  0.000  0.000  0.000
Mn  0.500  0.500  0.500

---

DFT (PBE-GGA) results for a geometry-optimized Pm3Pu2Ge3 structure.

## Properties
space-group type = P6_3/mcm, No. 193
formation energy from the elements = -4.82 eV/f.u.
crystal system = hexagonal

Cell lengths 6.096, 8.949, 8.949 Å; angles 120.00, 90.00, 90.00 degrees
Fractional coordinates of all 16 atoms:
Ge  0.250  0.373  0.000
Ge  0.750  0.627  0.000
Ge  0.750  0.000  0.627
Ge  0.250  0.627  0.627
Ge  0.250  0.000  0.373
Ge  0.750  0.373  0.373
Pu  0.500  0.667  0.333
Pu  0.000  0.333  0.667
Pu  0.500  0.333  0.667
Pu  0.000  0.667  0.333
Pm  0.250  0.275  0.275
Pm  0.750  0.725  0.725
Pm  0.750  0.275  0.000
Pm  0.750  0.000  0.275
Pm  0.250  0.000  0.725
Pm  0.250  0.725  0.000

---

DFT (PBE-GGA) results for a geometry-optimized Sr3TlCd2O6 structure.

## Properties
space-group type = C2/m, No. 12
crystal system = monoclinic
ΔE_f (raw) = -21.15 eV/f.u.

Cell lengths 6.280, 6.280, 6.032 Å; angles 99.87, 99.87, 120.12 degrees
Fractional coordinates of all 12 atoms:
O  0.918  0.573  0.756
O  0.427  0.082  0.244
O  0.573  0.918  0.756
O  0.737  0.737  0.245
O  0.082  0.427  0.244
O  0.263  0.263  0.755
Sr  0.834  0.166  0.500
Sr  0.500  0.500  0.500
Sr  0.166  0.834  0.500
Cd  0.667  0.333  0.000
Cd  0.333  0.667  0.000
Tl  0.000  0.000  0.000

---

DFT (PBE-GGA) results for a geometry-optimized IrWBr2 structure.

## Properties
space-group type = Cmmm, No. 65
crystal system = orthorhombic
ΔE_f (raw) = 6.23 eV/f.u.

Cell lengths 4.801, 4.801, 3.076 Å; angles 90.00, 90.00, 98.94 degrees
Fractional coordinates of all 4 atoms:
Ir  0.500  0.000  0.500
W  0.000  0.500  0.500
Br  0.000  0.000  0.000
Br  0.500  0.500  0.000

---

DFT (PBE-GGA) results for a geometry-optimized CuSiAg2 structure.

## Properties
space-group type = Cm, No. 8
crystal system = monoclinic
ΔE_f (raw) = 0.69 eV/f.u.

Cell lengths 5.267, 5.267, 4.452 Å; angles 62.37, 62.37, 35.45 degrees
Fractional coordinates of all 4 atoms:
Ag  0.980  0.980  0.007
Ag  0.761  0.761  0.751
Cu  0.528  0.528  0.456
Si  0.231  0.231  0.286

---

DFT (PBE-GGA) results for a geometry-optimized KTaSi structure.

## Properties
space-group type = P-6m2, No. 187
crystal system = hexagonal
ΔE_f (raw) = 3.18 eV/f.u.

Cell lengths 4.904, 4.904, 3.024 Å; angles 90.00, 90.00, 120.00 degrees
Fractional coordinates of all 3 atoms:
K  0.000  0.000  0.000
Si  0.667  0.333  0.500
Ta  0.333  0.667  0.500

---

DFT (PBE-GGA) results for a geometry-optimized TiRuI2O structure.

## Properties
space-group type = P4/mmm, No. 123
crystal system = tetragonal
ΔE_f (raw) = -1.08 eV/f.u.

Cell lengths 5.598, 5.598, 3.689 Å; angles 90.00, 90.00, 90.00 degrees
Fractional coordinates of all 5 atoms:
I  0.000  0.500  0.000
I  0.500  0.000  0.000
O  0.000  0.000  0.500
Ti  0.000  0.000  0.000
Ru  0.500  0.500  0.500

---

DFT (PBE-GGA) results for a geometry-optimized AsP2Rh structure.

## Properties
space-group type = Imm2, No. 44
formation energy from the elements = 0.18 eV/f.u.
crystal system = orthorhombic

Cell lengths 6.090, 6.090, 6.090 Å; angles 144.35, 148.21, 48.50 degrees
Fractional coordinates of all 4 atoms:
As  0.337  0.837  0.500
P  0.009  0.009  0.000
P  0.653  0.153  0.500
Rh  0.501  0.501  0.000

---

DFT (PBE-GGA) results for a geometry-optimized Lu3Sn structure.

## Properties
space-group type = I4/mmm, No. 139
formation energy from the elements = -1.48 eV/f.u.
crystal system = tetragonal

Cell lengths 6.052, 6.052, 6.052 Å; angles 135.74, 135.74, 64.38 degrees
Fractional coordinates of all 4 atoms:
Lu  0.500  0.500  0.000
Lu  0.250  0.750  0.500
Lu  0.750  0.250  0.500
Sn  0.000  0.000  0.000

---

DFT (PBE-GGA) results for a geometry-optimized La2ZnMo structure.

## Properties
space-group type = R3m, No. 160
formation energy from the elements = 1.68 eV/f.u.
crystal system = trigonal

Cell lengths 9.536, 9.536, 9.536 Å; angles 21.60, 21.60, 21.60 degrees
Fractional coordinates of all 4 atoms:
Mo  0.490  0.490  0.490
La  0.014  0.014  0.014
La  0.230  0.230  0.230
Zn  0.765  0.765  0.765

---

DFT (PBE-GGA) results for a geometry-optimized TcIr2Rh structure.

## Properties
space-group type = F222, No. 22
formation energy from the elements = -0.36 eV/f.u.
crystal system = orthorhombic

Cell lengths 4.744, 4.744, 4.740 Å; angles 132.06, 132.06, 70.20 degrees
Fractional coordinates of all 4 atoms:
Ir  0.750  0.250  0.500
Ir  0.000  0.000  0.000
Tc  0.250  0.750  0.500
Rh  0.500  0.500  0.000